6
Lattice="-3.2836 2.4232 1.3522 0.1532 -1.3255 -4.0868 -3.5202 -5.7341 1.7279" Properties=species:S:1:pos:R:3 comment="CaMgGe2Rh2, relaxed, DFT PBE" dos_at_fermi_per_ev_cell=3.35 formation_enthalpy_0k_kcal_per_mol_atoms=-15.8 e_tot_ev_per_atom=-5.27 sg=P-3m1 pbc="T T T"
Ca 0.0000 0.0000 0.0000
Mg -1.7601 -2.8671 0.8639
Ge -1.9505 -1.6366 -1.8035
Ge -4.7000 -2.9998 0.7968
Rh -3.2442 -3.7441 -1.1685
Rh -3.4063 -0.8924 0.1618



5
Lattice="4.9656 0.0000 0.0000 0.0000 4.9656 0.0000 0.0000 0.0000 4.7652" Properties=species:S:1:pos:R:3 comment="CaMg2GeRh, relaxed, DFT PBE" dos_at_fermi_per_ev_cell=4.06 formation_enthalpy_0k_kcal_per_mol_atoms=-7.2 e_tot_ev_per_atom=-3.75 sg=P4/mmm pbc="T T T"
Mg 0.0000 2.4828 0.0000
Mg 2.4828 0.0000 0.0000
Ge 0.0000 0.0000 2.3826
Rh 0.0000 0.0000 0.0000
Ca 2.4828 2.4828 2.3826



10
Lattice="4.1829 0.0000 0.0000 0.0000 4.1829 0.0000 0.0000 0.0000 10.5526" Properties=species:S:1:pos:R:3 comment="Ca2MgGe3Rh4, relaxed, DFT PBE" dos_at_fermi_per_ev_cell=6.34 formation_enthalpy_0k_kcal_per_mol_atoms=-16.8 e_tot_ev_per_atom=-5.62 sg=P-4m2 pbc="T T T"
Ca 2.0915 0.0000 2.5731
Ca 0.0000 2.0915 7.9794
Mg 2.0915 2.0915 5.2763
Ge 0.0000 0.0000 5.2763
Ge 2.0915 0.0000 9.2303
Ge 0.0000 2.0915 1.3223
Rh 2.0915 2.0915 0.0000
Rh 0.0000 0.0000 0.0000
Rh 2.0915 0.0000 6.7705
Rh 0.0000 2.0915 3.7821



20
Lattice="6.4245 -0.3114 -0.3231 1.6644 8.4235 0.0796 1.6644 -0.2327 8.4207" Properties=species:S:1:pos:R:3 comment="CaMgGe2S6, relaxed, DFT PBE" e_tot_ev_per_atom=-4.60 sg=C2/c pbc="T T T"
Ca 3.2705 7.4510 0.8608
Ca 6.4828 0.4284 7.3162
Mg 3.2705 2.1380 5.9805
Mg 6.4828 5.7414 2.1966
Ge 3.7905 6.4017 5.1620
Ge 2.7505 3.1140 1.7501
Ge 5.9628 1.4778 3.0151
Ge 7.0028 4.7655 6.4270
S 4.0541 8.0278 6.6638
S 2.4869 1.6734 0.0694
S 5.6992 -0.1484 1.5133
S 7.2664 6.2060 8.1077
S 4.6399 7.0300 3.2522
S 1.9012 5.0458 1.1929
S 5.1134 0.8494 4.9249
S 7.8522 2.8337 6.9842
S 7.9683 5.6094 4.5362
S 4.9974 3.3985 2.2418
S 1.7851 2.2700 3.6409
S 4.7560 4.4809 5.9353



4
Lattice="-2.1053 -0.1913 -4.7987 -1.7519 -4.5564 -1.9147 -5.1512 -0.7958 -0.5733" Properties=species:S:1:pos:R:3 comment="CaSmMgGe, relaxed, DFT PBE" dos_at_fermi_per_ev_cell=2.84 formation_enthalpy_0k_kcal_per_mol_atoms=-7.5 e_tot_ev_per_atom=-3.56 sg=F-43m pbc="T T T"
Mg -6.7563 -4.1576 -5.4651
Ge -2.2521 -1.3859 -1.8217
Ca -4.5042 -2.7717 -3.6434
Sm 0.0000 0.0000 0.0000



4
Lattice="-0.7955 0.8221 -5.0316 3.5117 -1.5404 -3.4527 -1.0294 -3.9697 -3.1317" Properties=species:S:1:pos:R:3 comment="CaMgSnGe, relaxed, DFT PBE" dos_at_fermi_per_ev_cell=2.45 formation_enthalpy_0k_kcal_per_mol_atoms=-6.6 e_tot_ev_per_atom=-3.34 sg=F-43m pbc="T T T"
Mg 0.0000 0.0000 0.0000
Ge 0.4217 -1.1720 -2.9040
Ca 0.8434 -2.3440 -5.8080
Sn 1.2651 -3.5160 -8.7120



4
Lattice="-2.4556 -4.2295 2.4274 -0.2723 -4.8247 -2.5415 2.9692 -4.2098 1.8089" Properties=species:S:1:pos:R:3 comment="SrCaMgGe, relaxed, DFT PBE" dos_at_fermi_per_ev_cell=1.55 formation_enthalpy_0k_kcal_per_mol_atoms=-7.1 e_tot_ev_per_atom=-2.78 sg=F-43m pbc="T T T"
Mg 0.0000 0.0000 0.0000
Sr 0.1810 -9.9480 1.2711
Ge 0.1207 -6.6320 0.8474
Ca 0.0603 -3.3160 0.4237



4
Lattice="-4.1635 -1.1997 2.8160 -0.3744 -4.6595 2.2029 0.3991 -0.4721 5.1304" Properties=species:S:1:pos:R:3 comment="CaMgTlGe, relaxed, DFT PBE" dos_at_fermi_per_ev_cell=2.31 formation_enthalpy_0k_kcal_per_mol_atoms=-5.9 e_tot_ev_per_atom=-2.90 sg=F-43m pbc="T T T"
Mg -2.0694 -3.1656 5.0746
Tl -3.1041 -4.7484 7.6119
Ca 0.0000 0.0000 0.0000
Ge -1.0347 -1.5828 2.5373



10
Lattice="-0.9247 -4.2144 -0.2049 1.4714 -0.5186 4.0279 -10.0406 2.0122 3.9270" Properties=species:S:1:pos:R:3 comment="Ca2MgZn3Ge4, relaxed, DFT PBE" dos_at_fermi_per_ev_cell=2.81 formation_enthalpy_0k_kcal_per_mol_atoms=-8.2 e_tot_ev_per_atom=-3.15 sg=P-4m2 pbc="T T T"
Ca -2.8819 -1.6223 0.8439
Ca -6.8854 1.2680 4.9946
Mg -4.7469 -1.3604 3.8750
Zn -5.0203 1.0061 1.9635
Zn -9.1661 -0.3629 3.3017
Zn -0.6011 0.0086 2.5368
Ge 0.2733 -2.3665 1.9115
Ge 0.0000 0.0000 0.0000
Ge -6.9218 -0.8127 2.4239
Ge -2.8454 0.4584 3.4146



10
Lattice="-2.4498 -2.3634 2.4770 -2.0071 -1.4760 -3.3935 7.4155 -8.4371 -0.7163" Properties=species:S:1:pos:R:3 comment="Ca2MgZn4Ge3, relaxed, DFT PBE" dos_at_fermi_per_ev_cell=2.51 formation_enthalpy_0k_kcal_per_mol_atoms=-7.8 e_tot_ev_per_atom=-2.79 sg=P-4m2 pbc="T T T"
Ca 0.5239 -3.1715 1.0695
Ca 4.6631 -7.1854 -2.2441
Mg 1.4793 -6.1383 -0.8164
Zn -2.2285 -1.9197 -0.4582
Zn 0.0000 0.0000 0.0000
Zn 3.5575 -6.6230 0.7765
Zn 1.6295 -3.7338 -1.9511
Ge 3.7077 -4.2186 -0.3582
Ge 5.1870 -8.4770 0.6191
Ge 0.0000 -1.8798 -1.7937



5
Lattice="4.6773 0.0000 0.0000 0.0000 4.6773 0.0000 0.0000 0.0000 4.6773" Properties=species:S:1:pos:R:3 comment="CaMnGe3, relaxed, DFT PBE" dos_at_fermi_per_ev_cell=2.79 formation_enthalpy_0k_kcal_per_mol_atoms=-2.3 e_tot_ev_per_atom=-5.11 sg=Pm-3m pbc="T T T"
Ge 0.0000 2.3387 0.0000
Ge 0.0000 0.0000 2.3387
Ge 2.3387 0.0000 0.0000
Mn 0.0000 0.0000 0.0000
Ca 2.3387 2.3387 2.3387



5
Lattice="4.3956 0.0000 0.0000 0.0000 4.3956 0.0000 2.1978 2.1978 4.4030" Properties=species:S:1:pos:R:3 comment="CaMn2Ge2, relaxed, DFT PBE" dos_at_fermi_per_ev_cell=4.72 formation_enthalpy_0k_kcal_per_mol_atoms=-1.2 e_tot_ev_per_atom=-5.97 sg=I4/mmm pbc="T T T"
Ge 4.3956 2.1978 2.2015
Ge 2.1978 4.3956 2.2015
Mn 2.1978 2.1978 0.9922
Mn 4.3956 4.3956 3.4109
Ca 0.0000 0.0000 0.0000



Repeat the fourth record exactly.
20
Lattice="6.4245 -0.3114 -0.3231 1.6644 8.4235 0.0796 1.6644 -0.2327 8.4207" Properties=species:S:1:pos:R:3 comment="CaMgGe2S6, relaxed, DFT PBE" e_tot_ev_per_atom=-4.60 sg=C2/c pbc="T T T"
Ca 3.2705 7.4510 0.8608
Ca 6.4828 0.4284 7.3162
Mg 3.2705 2.1380 5.9805
Mg 6.4828 5.7414 2.1966
Ge 3.7905 6.4017 5.1620
Ge 2.7505 3.1140 1.7501
Ge 5.9628 1.4778 3.0151
Ge 7.0028 4.7655 6.4270
S 4.0541 8.0278 6.6638
S 2.4869 1.6734 0.0694
S 5.6992 -0.1484 1.5133
S 7.2664 6.2060 8.1077
S 4.6399 7.0300 3.2522
S 1.9012 5.0458 1.1929
S 5.1134 0.8494 4.9249
S 7.8522 2.8337 6.9842
S 7.9683 5.6094 4.5362
S 4.9974 3.3985 2.2418
S 1.7851 2.2700 3.6409
S 4.7560 4.4809 5.9353



What is the formula in the second record?
CaMg2GeRh